# 1
First-principles (PBE) data for crystalline Be2Ni at its relaxed geometry, as listed in Alexandria.

Properties
Total magnetic moment (μB per formula unit): 0.0
Formation enthalpy at 0 K (eV per formula unit): -0.97
Density of states at the Fermi level (states/eV/atom): 0.497
Electronic total energy (Ha/atom): -0.1740

Unit cell a=2.624 b=2.624 c=7.517 alpha=90.00 beta=90.00 gamma=90.00
Space group I4/mmm (No. 139)
Inequivalent atoms, fractional coordinates:
1 Be 0.000 0.000 0.169 [4 per cell]
2 Ni 0.000 0.000 0.500 [2 per cell]

# 2
First-principles (PBE) data for crystalline Cu2HgTe at its relaxed geometry, as listed in Alexandria.

Properties
Formation energy (no corrections) (eV/atom): 0.479
Total magnetic moment (μB per formula unit): 0.0
Density of states at the Fermi level (states/eV/atom): 0.508
Relative energy among the computed polymorphs (eV per atom): 0.3700
Electronic total energy (Ha/atom): -0.0893

Unit cell a=6.823 b=6.823 c=6.823 alpha=90.00 beta=90.00 gamma=90.00
Space group F-43m (No. 216)
Inequivalent atoms, fractional coordinates:
1 Cu 0.000 0.000 0.000 [4 per cell]
2 Cu 0.250 0.250 0.250 [4 per cell]
3 Hg 0.000 0.000 0.500 [4 per cell]
4 Te 0.250 0.250 0.750 [4 per cell]

# 3
First-principles (PBE) data for crystalline MgPdS at its relaxed geometry, as listed in Alexandria.

Properties
Formation energy (no corrections) (eV/atom): -0.618
Total magnetic moment (μB per formula unit): 0.0
Density of states at the Fermi level (states/eV/atom): 0.023
Electronic total energy (Ha/atom): -0.1564

Unit cell a=9.025 b=4.204 c=7.014 alpha=90.00 beta=90.00 gamma=90.00
Space group Amm2 (No. 38)
Inequivalent atoms, fractional coordinates:
1 Mg 0.199 0.000 0.000 [4 per cell]
2 Pd 0.000 0.000 0.696 [2 per cell]
3 Pd 0.500 0.000 0.751 [2 per cell]
4 S 0.258 0.000 0.655 [4 per cell]

# 4
First-principles (PBE) data for crystalline ErTmZnHg at its relaxed geometry, as listed in Alexandria.

Properties
Total magnetic moment (μB per formula unit): 0.0
Formation enthalpy at 0 K (eV per formula unit): -1.60
Density of states at the Fermi level (states/eV/atom): 0.853
Electronic total energy (Ha/atom): -0.1122

Unit cell a=7.230 b=7.230 c=7.230 alpha=90.00 beta=90.00 gamma=90.00
Space group F-43m (No. 216)
Inequivalent atoms, fractional coordinates:
1 Er 0.000 0.000 0.000 [4 per cell]
2 Tm 0.000 0.000 0.500 [4 per cell]
3 Zn 0.250 0.250 0.250 [4 per cell]
4 Hg 0.250 0.250 0.750 [4 per cell]

# 5
First-principles (PBE) data for crystalline Ac2PdRuO8 at its relaxed geometry, as listed in Alexandria.

Properties
Formation energy (no corrections) (eV/atom): -1.744
Total magnetic moment (μB per formula unit): 0.1
Density of states at the Fermi level (states/eV/atom): 0.448
Electronic total energy (Ha/atom): -0.2550

Unit cell a=4.451 b=5.332 c=7.249 alpha=85.74 beta=88.44 gamma=85.20
Space group P-1 (No. 2)
Inequivalent atoms, fractional coordinates:
1 Ac 0.203 0.013 0.250 [2 per cell]
2 Pd 0.500 0.500 0.000 [1 per cell]
3 Ru 0.500 0.500 0.500 [1 per cell]
4 O 0.190 0.713 0.576 [2 per cell]
5 O 0.289 0.837 0.934 [2 per cell]
6 O 0.300 0.503 0.253 [2 per cell]
7 O 0.306 0.207 0.594 [2 per cell]

# 6
First-principles (PBE) data for crystalline Ta2MnZn at its relaxed geometry, as listed in Alexandria.

Properties
Total magnetic moment (μB per formula unit): 1.8
Formation enthalpy at 0 K (eV per formula unit): 1.03
Density of states at the Fermi level (states/eV/atom): 1.030
Electronic total energy (Ha/atom): -0.3043

Unit cell a=3.0129 b=3.0129 c=25.3245 alpha=90.00 beta=90.00 gamma=120.00
Space group R3m (No. 160, hexagonal axes)
Inequivalent atoms, fractional coordinates:
1 Ta 0.0000 0.0000 0.0000 [3 per cell]
2 Ta 0.0000 0.0000 0.2421 [3 per cell]
3 Mn 0.0000 0.0000 0.7412 [3 per cell]
4 Zn 0.0000 0.0000 0.4866 [3 per cell]

# 7
First-principles (PBE) data for crystalline LiEr5In6 at its relaxed geometry, as listed in Alexandria.

Properties
Total magnetic moment (μB per formula unit): 0.0
Formation enthalpy at 0 K (eV per formula unit): -5.05
Density of states at the Fermi level (states/eV/atom): 0.596
Electronic total energy (Ha/atom): -0.1415

Unit cell a=5.178 b=7.454 c=15.625 alpha=90.00 beta=90.00 gamma=90.00
Space group Immm (No. 71)
Inequivalent atoms, fractional coordinates:
1 Li 0.000 0.000 0.000 [2 per cell]
2 Er 0.000 0.000 0.337 [4 per cell]
3 Er 0.000 0.500 0.000 [2 per cell]
4 Er 0.000 0.500 0.330 [4 per cell]
5 In 0.000 0.240 0.161 [8 per cell]
6 In 0.000 0.271 0.500 [4 per cell]

# 8
First-principles (PBE) data for crystalline KLa4Rh at its relaxed geometry, as listed in Alexandria.

Properties
Total magnetic moment (μB per formula unit): 0.0
Formation enthalpy at 0 K (eV per formula unit): 3.90
Density of states at the Fermi level (states/eV/atom): 1.877
Electronic total energy (Ha/atom): -0.1486

Unit cell a=9.287 b=9.287 c=9.287 alpha=90.00 beta=90.00 gamma=90.00
Space group F-43m (No. 216)
Inequivalent atoms, fractional coordinates:
1 K 0.000 0.000 0.000 [4 per cell]
2 La 0.120 0.120 0.620 [16 per cell]
3 Rh 0.250 0.250 0.250 [4 per cell]

Q: Look up the total magnetic moment of the seventh one.
A: 0.0 μB per formula unit